# 1
DFT (PBE-GGA) results for MoIrPb2 after structural relaxation.

Lattice parameters (Å, degrees): 3.118 4.496 5.839 90.00 92.61 90.00
Fractional coordinates of all 4 atoms:
Mo 0.000 0.000 0.000
Ir 0.500 0.000 0.500
Pb 0.294 0.500 0.750
Pb 0.706 0.500 0.250

Calculated values
Total DFT energy (no corrections) (eV per atom): -5.98
ΔE to the lowest computed polymorph (kcal/mol of atoms): 13.30
Energy relative to the elements (eV/atom): 0.793

=====

# 2
DFT (PBE-GGA) results for Sr2CoRe after structural relaxation.

Lattice parameters (Å, degrees): 4.695 4.695 4.402 90.00 90.00 90.00
Fractional coordinates of all 4 atoms:
Sr 0.000 0.500 0.000
Sr 0.500 0.000 0.000
Co 0.000 0.000 0.500
Re 0.500 0.500 0.500

Calculated values
Total DFT energy (no corrections) (eV per atom): -4.49
ΔE to the lowest computed polymorph (kcal/mol of atoms): 14.99
Energy relative to the elements (eV/atom): 1.242

=====

# 3
DFT (PBE-GGA) results for Pr2GaTe4 after structural relaxation.

Lattice parameters (Å, degrees): 7.250 7.431 8.749 90.00 106.85 90.00
Fractional coordinates of all 14 atoms:
Pr 0.201 0.250 0.041
Pr 0.267 0.250 0.575
Pr 0.733 0.750 0.425
Pr 0.799 0.750 0.959
Ga 0.282 0.750 0.324
Ga 0.718 0.250 0.676
Te 0.008 0.004 0.265
Te 0.008 0.496 0.265
Te 0.419 0.750 0.065
Te 0.436 0.750 0.651
Te 0.564 0.250 0.349
Te 0.581 0.250 0.935
Te 0.992 0.504 0.735
Te 0.992 0.996 0.735

Calculated values
Total DFT energy (no corrections) (eV per atom): -4.57
Formation energy without anion corrections (eV/atom): -0.9739

=====

# 4
DFT (PBE-GGA) results for K3BeF5 after structural relaxation.

Lattice parameters (Å, degrees): 7.492 7.492 7.492 122.08 122.08 86.44
Fractional coordinates of all 18 atoms:
K 0.182 0.682 0.864
K 0.250 0.250 0.000
K 0.318 0.182 0.500
K 0.682 0.818 0.500
K 0.750 0.750 0.000
K 0.818 0.318 0.136
Be 0.250 0.750 0.500
Be 0.750 0.250 0.500
F 0.000 0.000 0.000
F 0.042 0.788 0.500
F 0.212 0.712 0.254
F 0.288 0.542 0.500
F 0.458 0.958 0.746
F 0.500 0.500 0.000
F 0.542 0.042 0.254
F 0.712 0.458 0.500
F 0.788 0.288 0.746
F 0.958 0.212 0.500

Calculated values
Total DFT energy (no corrections) (eV per atom): -4.83
Formation energy without anion corrections (eV/atom): -3.0078

=====

# 5
DFT (PBE-GGA) results for TaCSe2 after structural relaxation.

Lattice parameters (Å, degrees): 6.300 6.300 6.300 127.94 127.94 76.73
Fractional coordinates of all 8 atoms:
Ta 0.000 0.000 0.000
Ta 0.750 0.250 0.500
C 0.250 0.750 0.500
C 0.500 0.500 0.000
Se 0.181 0.625 0.056
Se 0.375 0.431 0.556
Se 0.569 0.125 0.944
Se 0.875 0.819 0.444

Calculated values
Total DFT energy (no corrections) (eV per atom): -5.91
Formation energy without anion corrections (eV/atom): 1.1023

=====

# 6
DFT (PBE-GGA) results for Mn2V5 after structural relaxation.

Lattice parameters (Å, degrees): 7.022 7.022 7.022 131.91 69.65 132.82
Fractional coordinates of all 14 atoms:
Mn 0.132 0.224 0.356
Mn 0.368 0.724 0.093
Mn 0.632 0.276 0.907
Mn 0.868 0.776 0.644
V 0.000 0.250 0.750
V 0.000 0.750 0.250
V 0.095 0.681 0.777
V 0.250 0.250 0.000
V 0.405 0.181 0.586
V 0.500 0.250 0.250
V 0.500 0.750 0.750
V 0.595 0.819 0.414
V 0.750 0.750 0.000
V 0.905 0.319 0.223

Calculated values
Total DFT energy (no corrections) (eV per atom): -9.02
Energy relative to the elements (eV/atom): 0.109

=====

# 7
DFT (PBE-GGA) results for Pm6Ho2ErTm after structural relaxation.

Lattice parameters (Å, degrees): 8.897 8.897 9.571 93.78 93.78 117.79
Fractional coordinates of all 20 atoms:
Pm 0.010 0.565 0.188
Pm 0.119 0.762 0.554
Pm 0.238 0.881 0.946
Pm 0.291 0.509 0.382
Pm 0.435 0.990 0.312
Pm 0.491 0.709 0.118
Pm 0.509 0.291 0.882
Pm 0.565 0.010 0.688
Pm 0.709 0.491 0.618
Pm 0.762 0.119 0.054
Pm 0.881 0.238 0.446
Pm 0.990 0.435 0.812
Ho 0.201 0.300 0.046
Ho 0.300 0.201 0.546
Ho 0.700 0.799 0.454
Ho 0.799 0.700 0.954
Er 0.027 0.973 0.250
Er 0.973 0.027 0.750
Tm 0.411 0.589 0.750
Tm 0.589 0.411 0.250

Calculated values
Total DFT energy (no corrections) (eV per atom): -4.55
Energy relative to the elements (eV/atom): 0.117

=====

# 8
DFT (PBE-GGA) results for CoNi2SnPd after structural relaxation.

Lattice parameters (Å, degrees): 4.604 4.604 4.670 90.00 90.00 90.00
Fractional coordinates of all 5 atoms:
Co 0.000 0.000 0.000
Ni 0.000 0.500 0.500
Ni 0.500 0.000 0.500
Sn 0.000 0.000 0.500
Pd 0.500 0.500 0.000

Calculated values
Total DFT energy (no corrections) (eV per atom): -4.32
Energy relative to the elements (eV/atom): 1.250

=====

# 9
DFT (PBE-GGA) results for Yb5Mg after structural relaxation.

Lattice parameters (Å, degrees): 6.956 6.956 8.543 104.98 104.98 30.37
Fractional coordinates of all 6 atoms:
Yb 0.000 0.000 0.000
Yb 0.048 0.048 0.617
Yb 0.322 0.322 0.679
Yb 0.375 0.375 0.262
Yb 0.660 0.660 0.334
Mg 0.713 0.713 0.943

Calculated values
Total DFT energy (no corrections) (eV per atom): -1.65
ΔE to the lowest computed polymorph (kcal/mol of atoms): 0.18
Energy relative to the elements (eV/atom): -0.113

=====

# 10
DFT (PBE-GGA) results for Ac6InPd4 after structural relaxation.

Lattice parameters (Å, degrees): 7.798 7.798 22.672 90.00 90.00 147.31
Fractional coordinates of all 22 atoms:
Ac 0.000 0.000 0.000
Ac 0.000 0.000 0.500
Ac 0.162 0.838 0.750
Ac 0.269 0.731 0.084
Ac 0.269 0.731 0.416
Ac 0.460 0.540 0.658
Ac 0.460 0.540 0.842
Ac 0.540 0.460 0.158
Ac 0.540 0.460 0.342
Ac 0.731 0.269 0.584
Ac 0.731 0.269 0.916
Ac 0.838 0.162 0.250
In 0.162 0.838 0.250
In 0.838 0.162 0.750
Pd 0.094 0.906 0.622
Pd 0.094 0.906 0.878
Pd 0.363 0.637 0.540
Pd 0.363 0.637 0.960
Pd 0.637 0.363 0.040
Pd 0.637 0.363 0.460
Pd 0.906 0.094 0.122
Pd 0.906 0.094 0.378

Calculated values
Total DFT energy (no corrections) (eV per atom): -5.01
Energy relative to the elements (eV/atom): -0.635

=====

# 11
DFT (PBE-GGA) results for LaRh3 after structural relaxation.

Lattice parameters (Å, degrees): 5.291 5.291 5.291 90.00 90.00 90.00
Fractional coordinates of all 8 atoms:
La 0.000 0.000 0.000
La 0.500 0.500 0.500
Rh 0.000 0.250 0.500
Rh 0.000 0.750 0.500
Rh 0.250 0.500 0.000
Rh 0.500 0.000 0.250
Rh 0.500 0.000 0.750
Rh 0.750 0.500 0.000

Calculated values
Total DFT energy (no corrections) (eV per atom): -6.75
Energy relative to the elements (eV/atom): -0.005

=====

# 12
DFT (PBE-GGA) results for Rb2PPt2 after structural relaxation.

Lattice parameters (Å, degrees): 6.418 6.418 5.757 90.00 90.00 90.00
Fractional coordinates of all 10 atoms:
Rb 0.177 0.323 0.000
Rb 0.323 0.823 0.000
Rb 0.677 0.177 0.000
Rb 0.823 0.677 0.000
P 0.000 0.000 0.500
P 0.500 0.500 0.500
Pt 0.157 0.657 0.500
Pt 0.343 0.157 0.500
Pt 0.657 0.843 0.500
Pt 0.843 0.343 0.500

Calculated values
Total DFT energy (no corrections) (eV per atom): -4.00
ΔE to the lowest computed polymorph (kcal/mol of atoms): 4.30
Energy relative to the elements (eV/atom): -0.116